{
  "formula": "RbCoTe2N",
  "functional": "PBE-GGA",
  "state": "relaxed",
  "lattice_angstrom": [[-3.1909, -1.7269, 5.2634], [-2.1920, -5.1847, -3.0300], [3.6125, -2.3555, 1.4172]],
  "species": ["Te", "Co", "Te", "N", "Rb"],
  "frac_coords": [[0.5000, 0.0000, 0.0000], [0.5000, 0.5000, 0.5000], [0.0000, 0.5000, 0.0000], [0.0000, 0.0000, 0.5000], [0.0000, 0.0000, 0.0000]],
  "e_form_raw_ev_per_atom": 2.2286,
  "sg": "P4/mmm (123)",
  "dft_energy_ev_per_atom": -2.308,
  "de_polymorph_mev_per_atom": 2143,
  "rho_g_cm3": 3.7
}



{
  "formula": "TaTeSe2",
  "functional": "PBE-GGA",
  "state": "relaxed",
  "lattice_angstrom": [[-4.2869, -5.9555, 6.0149], [-0.9841, -6.7911, 6.5527], [-2.3772, -4.1093, 8.2151]],
  "species": ["Ta", "Se", "Te", "Se"],
  "frac_coords": [[0.5011, 0.5011, 0.5011], [0.2278, 0.2278, 0.2278], [0.7619, 0.7619, 0.7619], [0.0092, 0.0092, 0.0092]],
  "e_form_raw_ev_per_atom": -0.1551,
  "sg": "R3m (160)",
  "dft_energy_ev_per_atom": -5.646,
  "rho_g_cm3": 8.1
}



Copy entry 1 word for word.
{
  "formula": "RbCoTe2N",
  "functional": "PBE-GGA",
  "state": "relaxed",
  "lattice_angstrom": [[-3.1909, -1.7269, 5.2634], [-2.1920, -5.1847, -3.0300], [3.6125, -2.3555, 1.4172]],
  "species": ["Te", "Co", "Te", "N", "Rb"],
  "frac_coords": [[0.5000, 0.0000, 0.0000], [0.5000, 0.5000, 0.5000], [0.0000, 0.5000, 0.0000], [0.0000, 0.0000, 0.5000], [0.0000, 0.0000, 0.0000]],
  "e_form_raw_ev_per_atom": 2.2286,
  "sg": "P4/mmm (123)",
  "dft_energy_ev_per_atom": -2.308,
  "de_polymorph_mev_per_atom": 2143,
  "rho_g_cm3": 3.7
}